# 1
The following is a DFT calculation (GGA-PBE) of crystalline VCr2Ni9 at its relaxed geometry.

The structure in CIF format:
```
data_VCr2Ni9
_space_group_name_H-M_alt 'P 1'
_space_group_IT_number 1
_space_group_name_Hall 'P 1'
_cell_length_a 3.560
_cell_length_b 3.560
_cell_length_c 10.668
_cell_angle_alpha 90.00
_cell_angle_beta 90.00
_cell_angle_gamma 90.00
loop_
_atom_site_label
_atom_site_type_symbol
_atom_site_fract_x
_atom_site_fract_y
_atom_site_fract_z
_atom_site_occupancy
V1 V 0.000 0.000 0.000 1
Cr1 Cr 0.000 0.000 0.337 1
Cr2 Cr 0.000 0.000 0.663 1
Ni1 Ni 0.000 0.500 0.163 1
Ni2 Ni 0.000 0.500 0.500 1
Ni3 Ni 0.000 0.500 0.837 1
Ni4 Ni 0.500 0.000 0.163 1
Ni5 Ni 0.500 0.000 0.500 1
Ni6 Ni 0.500 0.000 0.837 1
Ni7 Ni 0.500 0.500 0.000 1
Ni8 Ni 0.500 0.500 0.331 1
Ni9 Ni 0.500 0.500 0.669 1
```

For the volume, the calculation gives 11.27 A^3/atom. The density of states at the Fermi level comes out at 0.929 states/eV/atom. For the formation energy, the calculation gives -0.94 eV per formula unit. Its uncorrected energy is -6.778 eV/atom.

# 2
The following is a DFT calculation (GGA-PBE) of crystalline VCr2Ni at its relaxed geometry.

The structure in CIF format:
```
data_VCr2Ni
_space_group_name_H-M_alt 'P 1'
_space_group_IT_number 1
_space_group_name_Hall 'P 1'
_cell_length_a 4.103
_cell_length_b 4.103
_cell_length_c 4.103
_cell_angle_alpha 60.00
_cell_angle_beta 60.00
_cell_angle_gamma 60.00
loop_
_atom_site_label
_atom_site_type_symbol
_atom_site_fract_x
_atom_site_fract_y
_atom_site_fract_z
_atom_site_occupancy
V1 V 0.000 0.000 0.000 1
Cr1 Cr 0.250 0.250 0.250 1
Cr2 Cr 0.750 0.750 0.750 1
Ni1 Ni 0.500 0.500 0.500 1
```

The energy above the most stable polymorph in this dataset is 0.056 eV per atom. For the volume, the calculation gives 12.21 A^3/atom. The density of states at the Fermi level comes out at 1.107 states/eV/atom. For the formation energy, the calculation gives 0.52 eV per formula unit. Its uncorrected energy is -8.407 eV/atom.

# 3
The following is a DFT calculation (GGA-PBE) of crystalline VCr3Ni at its relaxed geometry.

The structure in CIF format:
```
data_VCr3Ni
_space_group_name_H-M_alt 'P 1'
_space_group_IT_number 1
_space_group_name_Hall 'P 1'
_cell_length_a 4.414
_cell_length_b 4.414
_cell_length_c 4.414
_cell_angle_alpha 90.00
_cell_angle_beta 90.00
_cell_angle_gamma 90.00
loop_
_atom_site_label
_atom_site_type_symbol
_atom_site_fract_x
_atom_site_fract_y
_atom_site_fract_z
_atom_site_occupancy
V1 V 0.000 0.000 0.000 1
Cr1 Cr 0.000 0.500 0.500 1
Cr2 Cr 0.500 0.000 0.500 1
Cr3 Cr 0.500 0.500 0.000 1
Ni1 Ni 0.500 0.500 0.500 1
```

The energy above the most stable polymorph in this dataset is 0.000 eV per atom. For the volume, the calculation gives 17.20 A^3/atom. The density of states at the Fermi level comes out at 3.063 states/eV/atom. For the formation energy, the calculation gives 6.44 eV per formula unit. Its uncorrected energy is -7.466 eV/atom.

# 4
The following is a DFT calculation (GGA-PBE) of crystalline VCr2Ni at its relaxed geometry.

The structure in CIF format:
```
data_VCr2Ni
_space_group_name_H-M_alt 'P 1'
_space_group_IT_number 1
_space_group_name_Hall 'P 1'
_cell_length_a 5.178
_cell_length_b 5.178
_cell_length_c 5.178
_cell_angle_alpha 102.57
_cell_angle_beta 102.57
_cell_angle_gamma 124.38
loop_
_atom_site_label
_atom_site_type_symbol
_atom_site_fract_x
_atom_site_fract_y
_atom_site_fract_z
_atom_site_occupancy
V1 V 0.000 0.000 0.000 1
V2 V 0.750 0.250 0.500 1
Cr1 Cr 0.133 0.625 0.008 1
Cr2 Cr 0.375 0.383 0.508 1
Cr3 Cr 0.617 0.125 0.992 1
Cr4 Cr 0.875 0.867 0.492 1
Ni1 Ni 0.250 0.750 0.500 1
Ni2 Ni 0.500 0.500 0.000 1
```

The energy above the most stable polymorph in this dataset is 0.508 eV per atom. For the volume, the calculation gives 12.67 A^3/atom. The density of states at the Fermi level comes out at 1.230 states/eV/atom. For the formation energy, the calculation gives 2.33 eV per formula unit. Its uncorrected energy is -7.955 eV/atom.

What did the second record say?
The following is a DFT calculation (GGA-PBE) of crystalline VCr2Ni at its relaxed geometry.

The structure in CIF format:
```
data_VCr2Ni
_space_group_name_H-M_alt 'P 1'
_space_group_IT_number 1
_space_group_name_Hall 'P 1'
_cell_length_a 4.103
_cell_length_b 4.103
_cell_length_c 4.103
_cell_angle_alpha 60.00
_cell_angle_beta 60.00
_cell_angle_gamma 60.00
loop_
_atom_site_label
_atom_site_type_symbol
_atom_site_fract_x
_atom_site_fract_y
_atom_site_fract_z
_atom_site_occupancy
V1 V 0.000 0.000 0.000 1
Cr1 Cr 0.250 0.250 0.250 1
Cr2 Cr 0.750 0.750 0.750 1
Ni1 Ni 0.500 0.500 0.500 1
```

The energy above the most stable polymorph in this dataset is 0.056 eV per atom. For the volume, the calculation gives 12.21 A^3/atom. The density of states at the Fermi level comes out at 1.107 states/eV/atom. For the formation energy, the calculation gives 0.52 eV per formula unit. Its uncorrected energy is -8.407 eV/atom.